DFT (PBE) results for a relaxed structure of Rb3AgI5.

Calculated values
spin magnetization	0.0	μB per formula unit
energy	-2.479	eV per atom
energy relative to the elements, uncorrected	-0.979	eV/atom

Cell lengths 9.934, 9.934, 16.803 Å; angles 90.00, 90.00, 90.00 degrees
Space group I4/mcm (No. 140)
Symmetry-distinct sites (fractional):
Rb 0.000 0.000 0.250 (multiplicity 4)
Rb 0.150 0.350 0.000 (multiplicity 8)
Ag 0.000 0.500 0.250 (multiplicity 4)
I 0.000 0.000 0.000 (multiplicity 4)
I 0.153 0.347 0.357 (multiplicity 16)